Compound: SrCaGe
Source: the Alexandria database
Functional: GGA-PBE
Structure: relaxed

Fermi-level density of states   0.652 states/eV per atom
Symmetry   I4mm
Mass density   3.35 g cm⁻³
Energy of formation from the pure elements   -0.37 eV per atom

Cell lengths 3.690, 3.690, 7.749 Å; angles 103.78, 103.78, 90.00 degrees
Sites, in units of the cell vectors:
1 Ge 0.623 0.623 0.245
2 Sr 0.984 0.984 0.969
3 Ca 0.243 0.243 0.486